PbS3I | PBE | optimized geometry

The structure in CIF format:
```
data_PbS3I
_chemical_formula_sum 'Pb1 S3 I1'
_space_group_name_H-M_alt 'P m -3 m'
_space_group_IT_number 221
_space_group_name_Hall '-P 4 2 3'
_cell_length_a 5.2650
_cell_length_b 5.2650
_cell_length_c 5.2650
_cell_angle_alpha 90.00
_cell_angle_beta 90.00
_cell_angle_gamma 90.00
loop_
_atom_site_label
_atom_site_fract_x
_atom_site_fract_y
_atom_site_fract_z
Pb1 0.0000 0.0000 0.0000
S1 0.0000 0.0000 0.5000
I1 0.5000 0.5000 0.5000
```

Results
**D(E_F)**: 7.27 states/eV/f.u.
**Formation energy from raw total energies**: 0.761 eV/atom